(1)
A plane-wave DFT calculation with GGA-PBE was carried out for an optimized crystal structure of Tb3CeHo7.

Results
Raw total energy = -4.51 eV per atom
DOS at the Fermi energy = 19.731 states/eV per cell

a = 8.5750 Å, b = 6.9981 Å, c = 6.9981 Å
α = 120.00°, β = 90.00°, γ = 90.00°
Last column: nearest neighbours and their distance in Å.
Sites, in units of the cell vectors:
1 Tb 0.7816 0.4986 0.5014  4 Tb 3.47-3.53, 1 Ce 3.49, 5 Ho 3.50-3.53
2 Tb 0.7816 0.4986 0.9972  4 Tb 3.47-3.53, 1 Ce 3.49, 5 Ho 3.50-3.53
3 Tb 0.7816 0.0028 0.5014  4 Tb 3.47-3.53, 1 Ce 3.49, 5 Ho 3.50-3.53
4 Ce 0.4477 0.3333 0.6667  9 Ho 3.45-3.50, 3 Tb 3.49
5 Ho 0.1196 0.1688 0.8312  1 Ce 3.45, 8 Ho 3.45-3.54, 2 Tb 3.52
6 Ho 0.1196 0.1688 0.3376  1 Ce 3.45, 8 Ho 3.45-3.54, 2 Tb 3.52
7 Ho 0.1180 0.6667 0.3333  9 Ho 3.48-3.50, 3 Tb 3.53
8 Ho 0.4486 0.8328 0.1672  7 Ho 3.48-3.51, 2 Ce 3.50, 2 Tb 3.50
9 Ho 0.4486 0.3344 0.1672  7 Ho 3.48-3.51, 2 Ce 3.50, 2 Tb 3.50
10 Ho 0.4486 0.8328 0.6656  7 Ho 3.48-3.51, 2 Ce 3.50, 2 Tb 3.50
11 Ho 0.1196 0.6624 0.8312  1 Ce 3.45, 8 Ho 3.45-3.54, 2 Tb 3.52



(2)
A plane-wave DFT calculation with GGA-PBE was carried out for an optimized crystal structure of Zn4AgPt.

Results
Raw total energy = -2.47 eV per atom
DOS at the Fermi energy = 3.241 states/eV per cell

a = 5.0183 Å, b = 5.0183 Å, c = 5.0183 Å
α = 60.00°, β = 60.00°, γ = 60.00°
Last column: nearest neighbours and their distance in Å.
Sites, in units of the cell vectors:
1 Zn 0.6252 0.6252 0.1244  6 Zn 2.50-2.51
2 Zn 0.6252 0.1244 0.6252  6 Zn 2.50-2.51
3 Zn 0.6252 0.6252 0.6252  6 Zn 2.50-2.51
4 Zn 0.1244 0.6252 0.6252  6 Zn 2.50-2.51
5 Ag 0.2500 0.2500 0.2500  12 Zn 2.94, 4 Pt 3.07
6 Pt 0.0000 0.0000 0.0000  12 Zn 2.94, 4 Ag 3.07



(3)
A plane-wave DFT calculation with GGA-PBE was carried out for an optimized crystal structure of Ca3Nd2ErSe6.

Results
Raw total energy = -5.30 eV per atom
DOS at the Fermi energy = 4.530 states/eV per cell
Energy relative to the elements, uncorrected = -1.89 eV/atom

a = 7.2013 Å, b = 7.2013 Å, c = 7.3163 Å
α = 99.49°, β = 99.49°, γ = 119.92°
Last column: nearest neighbours and their distance in Å.
Sites, in units of the cell vectors:
1 Ca 0.1694 0.8306 0.5000  6 Se 2.93-2.99
2 Ca 0.8306 0.1694 0.5000  6 Se 2.93-2.99
3 Ca 0.5000 0.5000 0.5000  6 Se 2.92-3.02
4 Nd 0.3342 0.6658 0.0000  6 Se 2.99-3.00
5 Nd 0.6658 0.3342 0.0000  6 Se 2.99-3.00
6 Er 0.0000 0.0000 0.0000  6 Se 2.90-2.91
7 Se 0.9165 0.5933 0.7487  1 Er 2.90, 3 Ca 2.92-2.99, 2 Nd 3.00
8 Se 0.7618 0.7618 0.2523  1 Er 2.91, 3 Ca 2.94-3.02, 2 Nd 2.99
9 Se 0.0835 0.4067 0.2513  1 Er 2.90, 3 Ca 2.92-2.99, 2 Nd 3.00
10 Se 0.5933 0.9165 0.7487  1 Er 2.90, 3 Ca 2.92-2.99, 2 Nd 3.00
11 Se 0.2382 0.2382 0.7477  1 Er 2.91, 3 Ca 2.94-3.02, 2 Nd 2.99
12 Se 0.4067 0.0835 0.2513  1 Er 2.90, 3 Ca 2.92-2.99, 2 Nd 3.00



(4)
A plane-wave DFT calculation with GGA-PBE was carried out for an optimized crystal structure of ScTlCd.

Results
Raw total energy = -3.36 eV per atom
DOS at the Fermi energy = 5.341 states/eV per cell

a = 5.4543 Å, b = 6.5014 Å, c = 4.5252 Å
α = 89.99°, β = 114.47°, γ = 105.02°
Last column: nearest neighbours and their distance in Å.
Sites, in units of the cell vectors:
1 Sc 0.4556 0.4616 0.8947  5 Cd 3.12-3.29, 5 Tl 3.15-3.25, 2 Sc 3.35-3.36
2 Sc 0.0917 0.1100 0.2126  5 Cd 3.12-3.29, 5 Tl 3.15-3.25, 2 Sc 3.35-3.36
3 Tl 0.7736 0.7858 0.5536  6 Cd 3.12-3.24, 4 Sc 3.19, 2 Tl 3.25
4 Tl 0.7737 0.2858 0.5537  6 Sc 3.15-3.25, 4 Cd 3.23, 2 Tl 3.25
5 Cd 0.1197 0.6104 0.2266  5 Tl 3.12-3.24, 5 Sc 3.12-3.29, 2 Cd 3.27
6 Cd 0.4276 0.9614 0.8806  5 Tl 3.12-3.24, 5 Sc 3.12-3.29, 2 Cd 3.27



(5)
A plane-wave DFT calculation with GGA-PBE was carried out for an optimized crystal structure of HgBiP2O.

Results
Raw total energy = -3.24 eV per atom
DOS at the Fermi energy = 2.940 states/eV per cell
Energy relative to the elements, uncorrected = 0.75 eV/atom

a = 5.0684 Å, b = 5.0684 Å, c = 4.1397 Å
α = 90.00°, β = 90.00°, γ = 90.00°
Last column: nearest neighbours and their distance in Å.
Sites, in units of the cell vectors:
1 P 0.0000 0.5000 0.0000  2 Hg 2.53
2 P 0.5000 0.0000 0.0000  2 Hg 2.53
3 Bi 0.5000 0.5000 0.5000  8 P 3.27, 4 O 3.58
4 O 0.0000 0.0000 0.5000  2 Hg 2.07
5 Hg 0.0000 0.0000 0.0000  2 O 2.07



(6)
A plane-wave DFT calculation with GGA-PBE was carried out for an optimized crystal structure of FeOs2Rh.

Results
Raw total energy = -9.46 eV per atom
DOS at the Fermi energy = 4.265 states/eV per cell

a = 4.6602 Å, b = 4.6602 Å, c = 4.6369 Å
α = 80.20°, β = 80.20°, γ = 33.63°
Last column: nearest neighbours and their distance in Å.
Sites, in units of the cell vectors:
1 Fe 0.2513 0.2513 0.2535  7 Os 2.64-2.73, 3 Rh 2.64-2.67, 2 Fe 2.70
2 Os 0.9996 0.9996 0.9929  5 Os 2.64-2.70, 4 Rh 2.67-2.70, 3 Fe 2.69-2.73
3 Os 0.7488 0.7488 0.7648  5 Os 2.64-2.70, 4 Fe 2.64-2.72, 3 Rh 2.73-2.75
4 Rh 0.5003 0.5003 0.4888  3 Fe 2.64-2.67, 7 Os 2.67-2.75, 2 Rh 2.70



(7)
A plane-wave DFT calculation with GGA-PBE was carried out for an optimized crystal structure of CeTm3Ir8.

Results
Raw total energy = -8.32 eV per atom
DOS at the Fermi energy = 9.124 states/eV per cell

a = 5.3559 Å, b = 5.3559 Å, c = 8.6945 Å
α = 90.00°, β = 90.00°, γ = 120.00°
Last column: nearest neighbours and their distance in Å.
Sites, in units of the cell vectors:
1 Ce 0.0000 0.0000 0.5709  12 Ir 3.10-3.19, 4 Tm 3.17-3.33
2 Tm 0.6667 0.3333 0.4298  12 Ir 3.11-3.18, 1 Tm 3.17, 3 Ce 3.33
3 Tm 0.6667 0.3333 0.0653  12 Ir 3.12-3.14, 4 Tm 3.17-3.29
4 Tm 0.0000 0.0000 0.9355  12 Ir 3.11-3.14, 1 Ce 3.17, 3 Tm 3.29
5 Ir 0.3333 0.6667 0.4983  6 Ir 2.69-2.71
6 Ir 0.3333 0.6667 0.0005  6 Ir 2.67-2.68
7 Ir 0.5033 0.0066 0.7514  6 Ir 2.62-2.73
8 Ir 0.5033 0.4967 0.7514  6 Ir 2.62-2.73
9 Ir 0.9934 0.4967 0.7514  6 Ir 2.62-2.73
10 Ir 0.1630 0.3260 0.2485  6 Ir 2.62-2.74
11 Ir 0.1630 0.8370 0.2485  6 Ir 2.62-2.74
12 Ir 0.6740 0.8370 0.2485  6 Ir 2.62-2.74



(8)
A plane-wave DFT calculation with GGA-PBE was carried out for an optimized crystal structure of ErThPd4.

Results
Raw total energy = -6.22 eV per atom
DOS at the Fermi energy = 4.021 states/eV per cell

a = 5.4882 Å, b = 5.4882 Å, c = 5.4882 Å
α = 60.00°, β = 60.00°, γ = 60.00°
Last column: nearest neighbours and their distance in Å.
Sites, in units of the cell vectors:
1 Pd 0.6246 0.6246 0.1262  6 Pd 2.74-2.75
2 Pd 0.6246 0.1262 0.6246  6 Pd 2.74-2.75
3 Pd 0.6246 0.6246 0.6246  6 Pd 2.74-2.75
4 Pd 0.1262 0.6246 0.6246  6 Pd 2.74-2.75
5 Th 0.0000 0.0000 0.0000  12 Pd 3.22, 4 Er 3.36
6 Er 0.2500 0.2500 0.2500  12 Pd 3.22, 4 Th 3.36



(9)
A plane-wave DFT calculation with GGA-PBE was carried out for an optimized crystal structure of Li2VBCl.

Results
Raw total energy = -4.16 eV per atom
DOS at the Fermi energy = 4.065 states/eV per cell
Energy relative to the elements, uncorrected = 0.13 eV/atom

a = 4.3909 Å, b = 4.0881 Å, c = 4.3909 Å
α = 90.00°, β = 90.00°, γ = 90.00°
Last column: nearest neighbours and their distance in Å.
Sites, in units of the cell vectors:
1 B 0.0000 0.0000 0.0000  2 V 2.04, 4 Li 2.20
2 Cl 0.5000 0.5000 0.5000  8 Li 3.00, 4 V 3.10
3 Li 0.0000 0.0000 0.5000  2 B 2.20
4 Li 0.5000 0.0000 0.0000  2 B 2.20
5 V 0.0000 0.5000 0.0000  2 B 2.04



(10)
A plane-wave DFT calculation with GGA-PBE was carried out for an optimized crystal structure of GeTe2Cl.

Results
Raw total energy = -2.96 eV per atom
DOS at the Fermi energy = 4.725 states/eV per cell
Energy relative to the elements, uncorrected = 0.23 eV/atom

a = 5.1593 Å, b = 5.1593 Å, c = 5.1593 Å
α = 60.00°, β = 60.00°, γ = 60.00°
Last column: nearest neighbours and their distance in Å.
Sites, in units of the cell vectors:
1 Ge 0.5000 0.5000 0.5000  8 Te 3.16
2 Te 0.2500 0.2500 0.2500  4 Ge 3.16, 4 Cl 3.16
3 Te 0.7500 0.7500 0.7500  4 Ge 3.16, 4 Cl 3.16
4 Cl 0.0000 0.0000 0.0000  8 Te 3.16